Entry 1:
DFT (GGA-PBE) results for a relaxed HoPd2Au6 crystal.

Properties
Its space group is C2/m (12). Its distance to the lowest polymorph of the same formula is 90 meV/atom. For the total magnetization, the calculation gives 0.000 μB per atom. As for the volume: 18.9 Å³ per atom. The calculated formation energy is -0.30 eV per atom.

Structure (extended XYZ):
```
9
Lattice="-4.409 1.466 -1.440 1.308 -3.337 -7.399 0.071 -2.793 5.840" Properties=species:S:1:pos:R:3 pbc="T T T"
Ho 0.000 0.000 0.000
Pd -2.085 -2.246 -3.923
Pd -0.945 -2.418 0.923
Au -0.096 -2.362 -1.908
Au -3.396 -1.125 1.519
Au -2.935 -2.302 -1.092
Au -1.931 0.035 -2.268
Au 0.366 -3.539 -4.519
Au -1.170 -1.906 -6.572
```

Entry 2:
DFT (GGA-PBE) results for a relaxed NdSm2DyTm5 crystal.

Properties
Its space group is I4/mcm (140). For the total magnetization, the calculation gives 0.000 μB per atom. As for the volume: 31.9 Å³ per atom. The calculated formation energy is 0.27 eV per atom.

Structure (extended XYZ):
```
18
Lattice="-7.216 4.361 -2.197 -4.303 -7.532 -0.819 3.753 1.939 8.800" Properties=species:S:1:pos:R:3 pbc="T T T"
Nd -1.003 0.177 3.646
Nd -6.763 -1.408 2.138
Sm -2.488 -2.391 -0.569
Sm -4.940 1.814 -1.448
Sm -6.579 -4.985 -1.569
Sm -9.030 -0.780 -2.448
Dy -3.155 -3.589 3.236
Dy -4.611 2.358 2.547
Tm -7.507 1.354 0.010
Tm -2.661 3.101 4.836
Tm -0.259 -2.586 5.773
Tm 1.300 1.538 6.002
Tm -4.220 -1.023 4.607
Tm -9.066 -2.769 -0.219
Tm -3.546 -0.208 1.176
Tm -5.105 -4.332 0.947
Tm -5.759 -1.585 -1.508
Tm 0.000 0.000 0.000
```

Entry 3:
DFT (GGA-PBE) results for a relaxed AlAgMo4 crystal.

Properties
Its space group is F-43m (216). For the total magnetization, the calculation gives 0.000 μB per atom. As for the volume: 17.1 Å³ per atom. The calculated formation energy is 0.47 eV per atom.

Structure (extended XYZ):
```
6
Lattice="0.000 3.713 3.713 3.713 0.000 3.713 3.713 3.713 0.000" Properties=species:S:1:pos:R:3 pbc="T T T"
Al 0.000 0.000 0.000
Ag 5.570 5.570 5.570
Mo 2.790 4.637 4.637
Mo 4.637 4.637 2.790
Mo 4.637 2.790 4.637
Mo 2.790 2.790 2.790
```

Entry 4:
DFT (GGA-PBE) results for a relaxed MnFe crystal.

Properties
Its space group is F-43m (216). For the total magnetization, the calculation gives 0.441 μB per atom. As for the volume: 15.1 Å³ per atom. The calculated formation energy is 1.32 eV per atom.

Structure (extended XYZ):
```
2
Lattice="-3.112 -1.528 -0.457 -1.126 -0.745 -3.226 -0.176 -3.326 -1.066" Properties=species:S:1:pos:R:3 pbc="T T T"
Fe 0.000 0.000 0.000
Mn -3.310 -4.198 -3.562
```